[1]
VASP calculation (PBE-GGA) on a relaxed structure of NaAsOs2.

CIF file:
```
data_NaAsOs2
_space_group_name_H-M_alt 'I -4 2 d'
_space_group_IT_number 122
_space_group_name_Hall 'I -4 2bw'
_cell_length_a 7.5164
_cell_length_b 7.5164
_cell_length_c 5.0408
_cell_angle_alpha 90.00
_cell_angle_beta 90.00
_cell_angle_gamma 90.00
loop_
_atom_site_label
_atom_site_type_symbol
_atom_site_fract_x
_atom_site_fract_y
_atom_site_fract_z
Na1 Na 0.0000 0.0000 0.0000
As1 As 0.0000 0.0000 0.5000
Os1 Os 0.1815 0.2500 0.6250
```

Summary:
- energy of formation (eV per atom) = 0.904


[2]
VASP calculation (PBE-GGA) on a relaxed structure of NaAsOs.

CIF file:
```
data_NaAsOs
_space_group_name_H-M_alt 'P -1'
_space_group_IT_number 2
_space_group_name_Hall '-P 1'
_cell_length_a 3.1355
_cell_length_b 5.3519
_cell_length_c 7.4693
_cell_angle_alpha 99.65
_cell_angle_beta 101.98
_cell_angle_gamma 106.96
loop_
_atom_site_label
_atom_site_type_symbol
_atom_site_fract_x
_atom_site_fract_y
_atom_site_fract_z
Na1 Na 0.2231 0.2956 0.1485
As1 As 0.4405 0.1398 0.7450
Os1 Os 0.1086 0.7367 0.4795
```

Summary:
- energy of formation (eV per atom) = -0.031


> Look up the energy of formation of the first one.

0.904 eV per atom


> The highest energy of formation belongs to which entry?

NaAsOs2


> Among the records above, which one has the highest energy of formation?

NaAsOs2